[1]
Ru4RhW | GGA-PBE | relaxed

Cell lengths 5.030, 5.030, 5.030 Å; angles 60.00, 60.00, 60.00 degrees
Element x y z (fractional)
Ru: 0.877 0.374 0.374
Ru: 0.374 0.374 0.877
Ru: 0.374 0.877 0.374
Ru: 0.374 0.374 0.374
Rh: 0.000 0.000 0.000
W: 0.750 0.750 0.750

Energy of formation, eV per atom: 0.426
Density of states at the Fermi level, states/eV per atom: 2.056


[2]
RuRh4W | GGA-PBE | relaxed

Cell lengths 4.682, 5.233, 7.723 Å; angles 70.20, 90.17, 90.50 degrees
Element x y z (fractional)
Ru: 0.750 0.860 0.279
Ru: 0.250 0.140 0.721
Rh: 0.268 0.551 0.400
Rh: 0.125 0.727 0.055
Rh: 0.768 0.951 0.600
Rh: 0.625 0.783 0.945
Rh: 0.732 0.449 0.600
Rh: 0.232 0.049 0.400
Rh: 0.875 0.273 0.945
Rh: 0.375 0.217 0.055
W: 0.750 0.361 0.278
W: 0.250 0.639 0.722

Energy of formation, eV per atom: 0.093
Density of states at the Fermi level, states/eV per atom: 1.087


[3]
RuRh6W | GGA-PBE | relaxed

Cell lengths 3.857, 5.449, 5.449 Å; angles 90.00, 90.00, 90.00 degrees
Element x y z (fractional)
Ru: 0.500 0.625 0.375
Rh: 0.500 0.125 0.375
Rh: 0.500 0.625 0.875
Rh: 0.000 0.374 0.124
Rh: 0.000 0.876 0.626
Rh: 0.000 0.374 0.626
Rh: 0.000 0.876 0.124
W: 0.500 0.125 0.875

Energy of formation, eV per atom: -0.071
Density of states at the Fermi level, states/eV per atom: 1.105


[4]
YRuRh | GGA-PBE | relaxed

Cell lengths 4.441, 4.441, 4.441 Å; angles 60.00, 60.00, 60.00 degrees
Element x y z (fractional)
Rh: 0.500 0.500 0.500
Ru: 0.750 0.750 0.750
Y: 0.000 0.000 0.000

Energy of formation, eV per atom: 0.151
Density of states at the Fermi level, states/eV per atom: 1.389


[5]
YRu2Rh | GGA-PBE | relaxed

Cell lengths 9.273, 9.273, 9.273 Å; angles 18.07, 18.07, 18.07 degrees
Element x y z (fractional)
Rh: 0.745 0.745 0.745
Ru: 0.998 0.998 0.998
Ru: 0.258 0.258 0.258
Y: 0.499 0.499 0.499

Energy of formation, eV per atom: 0.365
Density of states at the Fermi level, states/eV per atom: 1.838


[6]
YRuRh2 | GGA-PBE | relaxed

Cell lengths 4.908, 4.908, 5.003 Å; angles 78.70, 78.70, 35.10 degrees
Element x y z (fractional)
Rh: 0.993 0.993 0.016
Rh: 0.247 0.247 0.278
Ru: 0.509 0.509 0.442
Y: 0.751 0.751 0.764

Energy of formation, eV per atom: -0.162
Density of states at the Fermi level, states/eV per atom: 0.929


[7]
Y5RuRh4 | GGA-PBE | relaxed

Cell lengths 3.443, 3.443, 17.054 Å; angles 90.00, 90.00, 90.00 degrees
Element x y z (fractional)
Y: 0.500 0.500 0.098
Y: 0.500 0.500 0.299
Y: 0.500 0.500 0.500
Y: 0.500 0.500 0.701
Y: 0.500 0.500 0.902
Ru: 0.000 0.000 0.000
Rh: 0.000 0.000 0.202
Rh: 0.000 0.000 0.400
Rh: 0.000 0.000 0.600
Rh: 0.000 0.000 0.798

Energy of formation, eV per atom: -0.740
Density of states at the Fermi level, states/eV per atom: 0.551


[8]
Y5Ru4Rh | GGA-PBE | relaxed

Cell lengths 3.417, 3.417, 17.080 Å; angles 90.00, 90.00, 90.00 degrees
Element x y z (fractional)
Y: 0.500 0.500 0.103
Y: 0.500 0.500 0.301
Y: 0.500 0.500 0.500
Y: 0.500 0.500 0.699
Y: 0.500 0.500 0.897
Ru: 0.000 0.000 0.199
Ru: 0.000 0.000 0.400
Ru: 0.000 0.000 0.600
Ru: 0.000 0.000 0.801
Rh: 0.000 0.000 0.000

Energy of formation, eV per atom: -0.402
Density of states at the Fermi level, states/eV per atom: 0.941